## BeSb2As (PBE)

Data for a relaxed BeSb2As crystal.

Calculated values
total magnetic moment: 0.00 μB/f.u.
calculated volume: 21.00 Å³ per atom
total energy: -3.60 eV per atom
energy relative to the lowest polymorph listed for this composition: 153 kJ/mol of formula units
E_form (uncorrected): 552.4 meV per atom
calculated density: 6.474 g/cm3

Lattice parameters (Å, degrees): 3.537 4.800 4.948 90.00 90.00 90.00
Fractional positions:
Be (0.000, 0.000, 0.000)
Sb (0.500, 0.000, 0.500)
Sb (0.500, 0.500, 0.000)
As (0.000, 0.500, 0.500)


## Nd3TmIr (PBE)

Data for a relaxed Nd3TmIr crystal.

Calculated values
total magnetic moment: 0.00 μB/f.u.
calculated volume: 35.11 Å³ per atom
ΔE_f: -0.1008 eV per atom
total energy: -5.63 eV per atom
calculated density: 7.510 g/cm3

Lattice parameters (Å, degrees): 5.599 5.599 5.599 90.00 90.00 90.00
Fractional positions:
Nd (0.000, 0.000, 0.500)
Nd (0.000, 0.500, 0.000)
Nd (0.500, 0.000, 0.000)
Tm (0.500, 0.500, 0.500)
Ir (0.000, 0.000, 0.000)